Here is crystalline Tm2NbCu at its relaxed geometry from Alexandria. Energies are from PBE.

Computed properties:
mass density	9.20	g/cm3
M_tot	0.230	μB per atom
ΔH_f (0 K)	0.518	eV/atom
energy above the most stable polymorph in this dataset	0.506	eV/atom
Fermi-level density of states	1.125	states/eV per atom

Cell lengths 3.1366, 3.1366, 31.4043 Å; angles 90.00, 90.00, 120.00 degrees
Last column: nearest neighbours and their distance in Å.
Space group R-3m (No. 166, hexagonal axes)
Symmetry-distinct sites (fractional):
Tm  0.0000  0.0000  0.0941 [6 per cell]  3 Cu 2.91, 1 Nb 2.96, 6 Tm 3.14
Nb  0.0000  0.0000  0.0000 [3 per cell]  2 Tm 2.96, 6 Nb 3.14
Cu  0.0000  0.0000  0.5000 [3 per cell]  6 Tm 2.91, 6 Cu 3.14

---

Here is crystalline Tm2NbCu at its relaxed geometry from Alexandria. Energies are from PBE.

Computed properties:
mass density	9.57	g/cm3
M_tot	0.000	μB per atom
ΔH_f (0 K)	0.012	eV/atom
energy above the most stable polymorph in this dataset	0.000	eV/atom
Fermi-level density of states	0.762	states/eV per atom

Cell lengths 3.2556, 3.2556, 8.0933 Å; angles 90.00, 90.00, 90.00 degrees
Last column: nearest neighbours and their distance in Å.
Space group P4/mmm (No. 123)
Symmetry-distinct sites (fractional):
Tm  0.0000  0.0000  0.2269 [2 per cell]  4 Cu 2.94, 4 Nb 3.19, 4 Tm 3.26
Nb  0.5000  0.5000  0.5000 [1 per cell]  8 Tm 3.19, 4 Nb 3.26
Cu  0.5000  0.5000  0.0000 [1 per cell]  8 Tm 2.94, 4 Cu 3.26

---

Here is crystalline NbVCu at its relaxed geometry from Alexandria. Energies are from PBE.

Computed properties:
mass density	7.64	g/cm3
M_tot	0.000	μB per atom
ΔH_f (0 K)	0.223	eV/atom
energy above the most stable polymorph in this dataset	0.180	eV/atom
Fermi-level density of states	0.692	states/eV per atom

Cell lengths 4.5797, 4.5797, 2.4824 Å; angles 90.00, 90.00, 120.00 degrees
Last column: nearest neighbours and their distance in Å.
Space group P3m1 (No. 156)
Symmetry-distinct sites (fractional):
Nb  0.0000  0.0000  0.0000 [1 per cell]  2 Nb 2.48
V  0.6667  0.3333  0.5098 [1 per cell]  2 V 2.48, 3 Cu 2.64
Cu  0.3333  0.6667  0.4859 [1 per cell]  2 Cu 2.48, 3 V 2.64

---

Here is crystalline NbVCu3 at its relaxed geometry from Alexandria. Energies are from PBE.

Computed properties:
mass density	6.62	g/cm3
M_tot	0.321	μB per atom
ΔH_f (0 K)	1.235	eV/atom
energy above the most stable polymorph in this dataset	0.000	eV/atom
Fermi-level density of states	0.785	states/eV per atom

Cell lengths 4.3786, 4.3786, 4.3786 Å; angles 90.00, 90.00, 90.00 degrees
Last column: nearest neighbours and their distance in Å.
Space group Pm-3m (No. 221)
Symmetry-distinct sites (fractional):
Nb  0.0000  0.0000  0.0000 [1 per cell]  12 Cu 3.10
V  0.5000  0.5000  0.5000 [1 per cell]  6 Cu 2.19
Cu  0.0000  0.5000  0.5000 [3 per cell]  2 V 2.19

---

Here is crystalline NbV2Cu at its relaxed geometry from Alexandria. Energies are from PBE.

Computed properties:
mass density	7.46	g/cm3
M_tot	0.000	μB per atom
ΔH_f (0 K)	0.131	eV/atom
energy above the most stable polymorph in this dataset	0.000	eV/atom
Fermi-level density of states	1.138	states/eV per atom

Cell lengths 4.1409, 4.1409, 3.3532 Å; angles 90.00, 90.00, 90.00 degrees
Last column: nearest neighbours and their distance in Å.
Space group P4/mmm (No. 123)
Symmetry-distinct sites (fractional):
Nb  0.0000  0.0000  0.0000 [1 per cell]  8 V 2.66, 4 Cu 2.93
V  0.0000  0.5000  0.5000 [2 per cell]  4 Cu 2.66, 4 Nb 2.66, 4 V 2.93
Cu  0.5000  0.5000  0.0000 [1 per cell]  8 V 2.66, 4 Nb 2.93

---

Here is crystalline Nb2V2Cu at its relaxed geometry from Alexandria. Energies are from PBE.

Computed properties:
mass density	7.40	g/cm3
M_tot	0.000	μB per atom
ΔH_f (0 K)	0.253	eV/atom
Fermi-level density of states	0.735	states/eV per atom

Cell lengths 6.6356, 6.6356, 3.5803 Å; angles 90.00, 90.00, 90.00 degrees
Last column: nearest neighbours and their distance in Å.
Space group P4/mbm (No. 127)
Symmetry-distinct sites (fractional):
Nb  0.1752  0.3248  0.0000 [4 per cell]  6 V 2.58-2.71
V  0.1270  0.6270  0.5000 [4 per cell]  1 V 2.38, 2 Nb 2.58, 2 Cu 2.61
Cu  0.0000  0.0000  0.5000 [2 per cell]  4 V 2.61

---

Here is crystalline NbV2Cu at its relaxed geometry from Alexandria. Energies are from PBE.

Computed properties:
mass density	6.99	g/cm3
M_tot	0.000	μB per atom
ΔH_f (0 K)	0.567	eV/atom
energy above the most stable polymorph in this dataset	0.436	eV/atom
Fermi-level density of states	1.210	states/eV per atom

Cell lengths 6.9092, 6.9092, 5.1410 Å; angles 90.00, 90.00, 90.00 degrees
Last column: nearest neighbours and their distance in Å.
Space group I-42d (No. 122)
Symmetry-distinct sites (fractional):
Nb  0.0000  0.0000  0.0000 [4 per cell]  2 Cu 2.57, 4 V 2.61
V  0.2329  0.7500  0.6250 [8 per cell]  2 Cu 2.45, 2 V 2.58, 2 Nb 2.61
Cu  0.0000  0.0000  0.5000 [4 per cell]  4 V 2.45, 2 Nb 2.57

---

Here is crystalline NbVCu at its relaxed geometry from Alexandria. Energies are from PBE.

Computed properties:
mass density	7.82	g/cm3
M_tot	0.000	μB per atom
ΔH_f (0 K)	0.043	eV/atom
energy above the most stable polymorph in this dataset	0.000	eV/atom
Fermi-level density of states	1.233	states/eV per atom

Cell lengths 2.6810, 4.3297, 7.5938 Å; angles 90.00, 92.00, 90.00 degrees
Last column: nearest neighbours and their distance in Å.
Space group P2_1/m (No. 11)
Symmetry-distinct sites (fractional):
Nb  0.0026  0.2500  0.2338 [2 per cell]  2 Nb 2.68, 6 Cu 2.70-2.84, 3 V 2.73-2.77
V  0.3393  0.7500  0.4325 [2 per cell]  4 V 2.53-2.68, 1 Cu 2.66, 3 Nb 2.73-2.77
Cu  0.4593  0.2500  0.9086 [2 per cell]  4 Cu 2.58-2.68, 1 V 2.66, 6 Nb 2.70-2.84

---

Here is crystalline NbVCu at its relaxed geometry from Alexandria. Energies are from PBE.

Computed properties:
mass density	6.92	g/cm3
M_tot	0.000	μB per atom
ΔH_f (0 K)	0.575	eV/atom
energy above the most stable polymorph in this dataset	0.532	eV/atom
Fermi-level density of states	1.108	states/eV per atom

Cell lengths 4.2135, 4.2135, 19.4188 Å; angles 90.00, 90.00, 120.00 degrees
Last column: nearest neighbours and their distance in Å.
Space group R-3m (No. 166, hexagonal axes)
Symmetry-distinct sites (fractional):
Nb  0.0000  0.0000  0.0702 [6 per cell]  1 V 2.44, 3 Cu 2.72, 1 Nb 2.72
V  0.0000  0.0000  0.1958 [6 per cell]  1 Nb 2.44, 3 V 2.68
Cu  0.0000  0.0000  0.3404 [6 per cell]  3 Cu 2.45, 3 Nb 2.72

---

Here is crystalline NbV2Cu at its relaxed geometry from Alexandria. Energies are from PBE.

Computed properties:
mass density	7.10	g/cm3
M_tot	0.000	μB per atom
ΔH_f (0 K)	0.476	eV/atom
energy above the most stable polymorph in this dataset	0.345	eV/atom
Fermi-level density of states	1.130	states/eV per atom

Cell lengths 2.7111, 2.7111, 28.4778 Å; angles 90.00, 90.00, 120.00 degrees
Last column: nearest neighbours and their distance in Å.
Space group R-3m (No. 166, hexagonal axes)
Symmetry-distinct sites (fractional):
Nb  0.0000  0.0000  0.0000 [3 per cell]  2 V 2.57, 6 Nb 2.71
V  0.0000  0.0000  0.0903 [6 per cell]  1 Nb 2.57, 3 Cu 2.68, 6 V 2.71
Cu  0.0000  0.0000  0.5000 [3 per cell]  6 V 2.68, 6 Cu 2.71

---

Here is crystalline NbV2Cu at its relaxed geometry from Alexandria. Energies are from PBE.

Computed properties:
mass density	7.38	g/cm3
M_tot	0.000	μB per atom
ΔH_f (0 K)	0.139	eV/atom
energy above the most stable polymorph in this dataset	0.008	eV/atom
Fermi-level density of states	1.476	states/eV per atom

Cell lengths 3.1828, 3.1828, 5.7393 Å; angles 90.00, 90.00, 90.00 degrees
Last column: nearest neighbours and their distance in Å.
Space group P4/mmm (No. 123)
Symmetry-distinct sites (fractional):
Nb  0.0000  0.0000  0.0000 [1 per cell]  8 V 2.68, 2 Cu 2.87
V  0.5000  0.5000  0.2543 [2 per cell]  4 Cu 2.66, 4 Nb 2.68, 2 V 2.82-2.92
Cu  0.0000  0.0000  0.5000 [1 per cell]  8 V 2.66, 2 Nb 2.87

---

Here is crystalline NbV3Cu at its relaxed geometry from Alexandria. Energies are from PBE.

Computed properties:
mass density	6.09	g/cm3
M_tot	0.000	μB per atom
ΔH_f (0 K)	1.172	eV/atom
energy above the most stable polymorph in this dataset	0.000	eV/atom
Fermi-level density of states	2.007	states/eV per atom

Cell lengths 4.3844, 4.3844, 4.3844 Å; angles 90.00, 90.00, 90.00 degrees
Last column: nearest neighbours and their distance in Å.
Space group Pm-3m (No. 221)
Symmetry-distinct sites (fractional):
Nb  0.0000  0.0000  0.0000 [1 per cell]  12 V 3.10
V  0.0000  0.5000  0.5000 [3 per cell]  2 Cu 2.19
Cu  0.5000  0.5000  0.5000 [1 per cell]  6 V 2.19